! CoHF2 | Alexandria via LeMat-Bulk | PBE with a Hubbard U | optimized geometry; values from VASP
! * space group: I-42d, No. 122
! * distance to the lowest polymorph of the same formula: 503.5 meV/atom
! * spin magnetization: 4.3 Bohr magnetons per cell
&SYSTEM
  ibrav = 0, nat = 8, ntyp = 3
/
ATOMIC_SPECIES
Co 58.93 Co.upf
H 1.01 H.upf
F 19.00 F.upf
ATOMIC_POSITIONS crystal
Co 0.000 0.000 0.000
Co 0.750 0.250 0.500
H 0.250 0.750 0.500
H 0.500 0.500 0.000
F 0.238 0.625 0.113
F 0.375 0.488 0.613
F 0.512 0.125 0.887
F 0.875 0.762 0.387
CELL_PARAMETERS angstrom
-2.226 2.226 3.608
2.226 -2.226 3.608
2.226 2.226 -3.608